The following is a DFT calculation (PBE) of a relaxed structure of LiCrCu2Os.

Geometry as POSCAR:
```
LiCrCu2Os
1.0
4.597 0.000 0.000
0.000 4.597 0.000
0.000 0.000 4.344
Li Cr Cu Os
1 1 2 1
Direct
0.000 0.000 0.000
0.500 0.500 0.500
0.000 0.500 0.500
0.500 0.000 0.500
0.500 0.500 0.000
```

Properties
Electronic total energy   -25.14 eV for the cell shown
DOS(E_F)   5.55 states/eV per cell
Symmetry   P4/mmm (123)